The following is a PBE calculation of Na5B8C2 after structural relaxation, from the Alexandria database.

Computed properties:
- D(E_F) (states/eV per atom) = 0.2048

a b c (Å): 7.521 7.521 10.344
angles (deg): 120.64 120.64 41.09
Positions (direct):
B  0.349  0.039  0.250
Na  0.601  0.604  0.007
Na  0.000  0.000  0.500
C  0.434  0.761  0.750
B  0.632  0.976  0.250
B  0.148  0.852  0.250
Na  0.800  0.796  0.496
Na  0.204  0.200  0.004
B  0.368  0.024  0.750
Na  0.604  0.601  0.507
Na  0.000  0.000  0.000
Na  0.399  0.396  0.993
C  0.566  0.239  0.250
Na  0.796  0.800  0.996
B  0.961  0.651  0.250
B  0.820  0.180  0.250
B  0.024  0.368  0.250
B  0.651  0.961  0.750
B  0.274  0.537  0.250
Na  0.200  0.204  0.504
C  0.239  0.566  0.750
B  0.726  0.463  0.750
B  0.180  0.820  0.750
C  0.761  0.434  0.250
B  0.976  0.632  0.750
B  0.537  0.274  0.750
Na  0.396  0.399  0.493
B  0.039  0.349  0.750
B  0.852  0.148  0.750
B  0.463  0.726  0.250

---

The following is a PBE calculation of Na8B9C7 after structural relaxation, from the Alexandria database.

Computed properties:
- D(E_F) (states/eV per atom) = 0.0716

a b c (Å): 2.821 4.964 16.920
angles (deg): 90.00 90.00 90.00
Positions (direct):
Na  0.500  0.500  0.247
B  0.500  0.154  0.375
C  0.500  0.834  0.123
Na  0.000  0.998  0.502
Na  0.000  0.000  0.999
Na  0.500  0.500  0.999
B  0.000  0.360  0.375
B  0.500  0.167  0.627
Na  0.000  0.000  0.751
B  0.000  0.332  0.875
B  0.500  0.167  0.123
Na  0.000  0.998  0.248
C  0.500  0.166  0.875
B  0.500  0.821  0.375
C  0.000  0.334  0.123
C  0.500  0.834  0.627
C  0.000  0.666  0.375
Na  0.500  0.500  0.503
C  0.000  0.666  0.875
B  0.000  0.667  0.123
B  0.000  0.667  0.627
C  0.000  0.334  0.627
B  0.500  0.832  0.875
Na  0.500  0.500  0.751

---

no.,calculated total energy (eV/atom),density (g/cm3),ΔE to the lowest computed polymorph (meV per atom)
1,-5.0437,2.32,17
2,-5.5959,2.56,8